Density functional theory data (PBE) for crystalline Ac4ZnNiI2 at its relaxed geometry.

a = 4.418 Å, b = 7.887 Å, c = 8.840 Å
α = 106.36°, β = 90.00°, γ = 90.00°
Positions (direct):
Ac: 0.500 0.258 0.199
Ac: 0.500 0.742 0.801
Ac: 0.000 0.280 0.811
Ac: 0.000 0.720 0.189
Zn: 0.000 0.000 0.000
Ni: 0.500 0.500 0.000
I: 0.500 0.000 0.500
I: 0.000 0.500 0.500

Computed properties:
Total DFT energy (no corrections) (eV for the cell shown): -31.53
Uncorrected formation energy (eV/atom): -0.62
Calculated volume (Å³/atom): 36.94
Fermi-level density of states (states/eV/atom): 1.073